# 1
! LiVSi4H2O12 | the Alexandria database | GGA-PBEsol | relaxed; values from VASP
&SYSTEM
  ibrav = 0, nat = 40, ntyp = 5
/
ATOMIC_SPECIES
O 16.00 O.upf
Li 6.94 Li.upf
Si 28.09 Si.upf
H 1.01 H.upf
V 50.94 V.upf
ATOMIC_POSITIONS crystal
O 0.7915 0.8454 0.6367
O 0.9677 0.7037 0.0421
O 0.0323 0.2963 0.9579
O 0.7582 0.5333 0.9206
O 0.0911 0.6520 0.7894
O 0.4567 0.6019 0.7677
O 0.5275 0.2450 0.9730
O 0.2692 0.0564 0.9134
O 0.2418 0.4667 0.0794
O 0.2085 0.1546 0.3633
O 0.9089 0.3480 0.2106
O 0.5433 0.3981 0.2323
O 0.2926 0.5989 0.3062
O 0.7447 0.2344 0.4957
O 0.7074 0.4011 0.6938
O 0.4725 0.7550 0.0270
O 0.2218 0.4017 0.6873
O 0.2553 0.7656 0.5043
O 0.3973 0.9464 0.2063
O 0.6027 0.0536 0.7937
O 0.9639 0.1435 0.7479
O 0.0361 0.8565 0.2521
O 0.7782 0.5983 0.3127
O 0.7308 0.9436 0.0866
Li 0.3819 0.2061 0.1866
Li 0.6181 0.7939 0.8134
Si 0.2538 0.6037 0.6884
Si 0.6159 0.4384 0.8422
Si 0.1208 0.2219 0.8289
Si 0.8792 0.7781 0.1711
Si 0.3841 0.5616 0.1578
Si 0.7462 0.3963 0.3116
Si 0.7542 0.2052 0.6841
Si 0.2458 0.7948 0.3159
H 0.1896 0.0383 0.4581
H 0.0859 0.2121 0.3215
H 0.9141 0.7879 0.6785
H 0.8104 0.9617 0.5419
V 0.0000 0.5000 0.0000
V 0.5000 0.0000 0.0000
CELL_PARAMETERS angstrom
7.2369 -0.0436 0.0634
0.1483 7.9688 0.0213
0.0737 3.7823 8.2599
! - SG: P-1

# 2
! LiTeH5O6 | the Alexandria database | GGA-PBEsol | relaxed; values from VASP
&SYSTEM
  ibrav = 0, nat = 52, ntyp = 4
/
ATOMIC_SPECIES
H 1.01 H.upf
O 16.00 O.upf
Te 127.60 Te.upf
Li 6.94 Li.upf
ATOMIC_POSITIONS crystal
H 0.7803 0.2631 0.5044
H 0.2197 0.7631 0.0044
H 0.2297 0.7431 0.5058
H 0.2411 0.0679 0.7726
H 0.7578 0.9333 0.2228
H 0.0691 0.2083 0.2380
H 0.2562 0.2749 0.9299
H 0.7266 0.9973 0.7384
H 0.2768 0.9989 0.2581
H 0.4299 0.7393 0.7911
H 0.7589 0.5679 0.2726
H 0.7392 0.7252 0.0644
H 0.7438 0.7749 0.4299
H 0.2608 0.2252 0.5644
H 0.7232 0.4989 0.7581
H 0.5701 0.2393 0.2911
H 0.9309 0.7083 0.7380
H 0.7703 0.2431 0.0058
H 0.2422 0.4333 0.7228
H 0.2734 0.4973 0.2384
O 0.5935 0.0417 0.7323
O 0.7366 0.5882 0.0748
O 0.0729 0.0720 0.2286
O 0.9047 0.2387 0.9639
O 0.4246 0.7299 0.9276
O 0.7666 0.5769 0.4097
O 0.0888 0.7678 0.0425
O 0.5807 0.2651 0.0742
O 0.7355 0.9117 0.4210
O 0.9168 0.9258 0.7634
O 0.9112 0.2678 0.5425
O 0.0832 0.4258 0.2634
O 0.0953 0.7387 0.4639
O 0.2389 0.4231 0.5860
O 0.4193 0.7651 0.5742
O 0.5754 0.2299 0.4276
O 0.9271 0.5720 0.7286
O 0.7611 0.9231 0.0860
O 0.2634 0.0882 0.5748
O 0.2645 0.4117 0.9210
O 0.5913 0.4633 0.7612
O 0.4087 0.9633 0.2612
O 0.4065 0.5417 0.2323
O 0.2334 0.0769 0.9097
Te 0.9932 0.0003 0.9889
Te 0.0068 0.5003 0.4889
Te 0.4970 0.9908 0.5015
Te 0.5030 0.4908 0.0015
Li 0.0024 0.4954 0.0120
Li 0.4967 0.5130 0.5019
Li 0.5033 0.0130 0.0019
Li 0.9976 0.9954 0.5120
CELL_PARAMETERS angstrom
-5.1313 2.1400 4.9619
-4.2585 -5.9598 -1.8336
3.4392 -4.0979 5.3240
! - SG: Pc

# 3
! Li3TeHO4 | the Alexandria database | GGA-PBEsol | relaxed; values from VASP
&SYSTEM
  ibrav = 0, nat = 18, ntyp = 4
/
ATOMIC_SPECIES
Li 6.94 Li.upf
O 16.00 O.upf
H 1.01 H.upf
Te 127.60 Te.upf
ATOMIC_POSITIONS crystal
Li 0.2569 0.9826 0.1620
Li 0.7431 0.0174 0.8380
Li 0.7164 0.7500 0.1524
Li 0.2836 0.2500 0.8476
Li 0.7431 0.4826 0.8380
Li 0.2569 0.5174 0.1620
O 0.4860 0.7500 0.3095
O 0.0948 0.5248 0.8220
O 0.5481 0.7500 0.8069
O 0.4519 0.2500 0.1931
O 0.5140 0.2500 0.6905
O 0.9052 0.4752 0.1780
O 0.9052 0.0248 0.1780
O 0.0948 0.9752 0.8220
H 0.5434 0.7500 0.4751
H 0.4566 0.2500 0.5249
Te 0.1658 0.7500 0.6635
Te 0.8342 0.2500 0.3365
CELL_PARAMETERS angstrom
5.4065 0.0000 0.0016
0.0000 6.3417 0.0000
-2.6277 0.0000 5.8593
! - SG: P2_1/m

# 4
! Li4H6Os | the Alexandria database | GGA-PBEsol | relaxed; values from VASP
&SYSTEM
  ibrav = 0, nat = 22, ntyp = 3
/
ATOMIC_SPECIES
Os 190.23 Os.upf
Li 6.94 Li.upf
H 1.01 H.upf
ATOMIC_POSITIONS crystal
Os 0.0000 0.0000 0.0000
Os 0.5000 0.5000 0.5000
Li 0.2500 0.2500 0.2500
Li 0.1374 0.3626 0.7500
Li 0.6374 0.2500 0.8626
Li 0.7500 0.1374 0.3626
Li 0.2500 0.8626 0.6374
Li 0.8626 0.6374 0.2500
Li 0.3626 0.7500 0.1374
Li 0.7500 0.7500 0.7500
H 0.9429 0.0485 0.7098
H 0.0485 0.7098 0.9429
H 0.7902 0.4515 0.5571
H 0.7098 0.9429 0.0485
H 0.4429 0.2098 0.5485
H 0.5485 0.4429 0.2098
H 0.4515 0.5571 0.7902
H 0.2098 0.5485 0.4429
H 0.5571 0.7902 0.4515
H 0.2902 0.0571 0.9515
H 0.9515 0.2902 0.0571
H 0.0571 0.9515 0.2902
CELL_PARAMETERS angstrom
5.7388 0.0024 0.0024
0.0247 5.7388 0.0024
0.0247 0.0246 5.7388
! - SG: R-3c

# 5
! LiPH | the Alexandria database | GGA-PBEsol | relaxed; values from VASP
&SYSTEM
  ibrav = 0, nat = 6, ntyp = 3
/
ATOMIC_SPECIES
H 1.01 H.upf
P 30.97 P.upf
Li 6.94 Li.upf
ATOMIC_POSITIONS crystal
H 0.0086 0.7710 0.6703
H 0.2290 0.9914 0.3297
P 0.6614 0.7133 0.7071
P 0.2867 0.3386 0.2929
Li 0.8139 0.1861 0.5000
Li 0.6776 0.3224 0.0000
CELL_PARAMETERS angstrom
4.1612 0.0101 -0.0201
-1.3344 3.9415 -0.0201
-1.3751 -1.9222 4.9977
! - SG: C2

# 6
! LiP2HS | the Alexandria database | GGA-PBEsol | relaxed; values from VASP
&SYSTEM
  ibrav = 0, nat = 5, ntyp = 4
/
ATOMIC_SPECIES
S 32.06 S.upf
P 30.97 P.upf
H 1.01 H.upf
Li 6.94 Li.upf
ATOMIC_POSITIONS crystal
S 0.5000 0.0000 0.0000
P 0.0000 0.5000 0.0000
P 0.0000 0.0000 0.5000
H 0.5000 0.5000 0.5000
Li 0.0000 0.0000 0.0000
CELL_PARAMETERS angstrom
4.1663 0.0000 0.0000
0.0000 4.2372 0.0000
0.0000 0.0000 4.2372
! - SG: P4/mmm

# 7
! LiHPb3 | the Alexandria database | GGA-PBEsol | relaxed; values from VASP
&SYSTEM
  ibrav = 0, nat = 5, ntyp = 3
/
ATOMIC_SPECIES
Pb 207.20 Pb.upf
Li 6.94 Li.upf
H 1.01 H.upf
ATOMIC_POSITIONS crystal
Pb 0.5000 0.0000 0.0000
Pb 0.0000 0.5000 0.0000
Pb 0.0000 0.0000 0.5000
Li 0.5000 0.5000 0.5000
H 0.0000 0.0000 0.0000
CELL_PARAMETERS angstrom
-2.9830 3.2696 -2.0014
-2.7929 -0.1166 3.9724
2.6259 3.5903 1.9516
! - SG: Pm-3m

# 8
! LiHPd3 | the Alexandria database | GGA-PBEsol | relaxed; values from VASP
&SYSTEM
  ibrav = 0, nat = 5, ntyp = 3
/
ATOMIC_SPECIES
Pd 106.42 Pd.upf
Li 6.94 Li.upf
H 1.01 H.upf
ATOMIC_POSITIONS crystal
Pd 0.0000 0.5000 0.0000
Pd 0.0000 0.0000 0.5000
Pd 0.5000 0.0000 0.0000
Li 0.5000 0.5000 0.5000
H 0.0000 0.0000 0.0000
CELL_PARAMETERS angstrom
-2.6582 2.7249 -0.8547
0.4911 -0.7142 -3.8040
-2.8133 -2.6994 0.1436
! - SG: Pm-3m
! - ΔE to the lowest computed polymorph: 0.0192 eV per atom

# 9
! LiHPd3 | the Alexandria database | GGA-PBEsol | relaxed; values from VASP
&SYSTEM
  ibrav = 0, nat = 5, ntyp = 3
/
ATOMIC_SPECIES
Pd 106.42 Pd.upf
Li 6.94 Li.upf
H 1.01 H.upf
ATOMIC_POSITIONS crystal
Pd 0.0000 0.0010 0.9990
Pd 0.5000 0.9960 0.5076
Pd 0.5000 0.4924 0.0040
Li 0.0000 0.4898 0.5102
H 0.0000 0.7653 0.2347
CELL_PARAMETERS angstrom
-0.2188 1.9653 1.9251
-4.7552 -0.3836 -0.1489
1.7887 -2.9933 3.2591
! - SG: Amm2
! - ΔE to the lowest computed polymorph: 0.0000 eV per atom

# 10
! Li2HPd | the Alexandria database | GGA-PBEsol | relaxed; values from VASP
&SYSTEM
  ibrav = 0, nat = 4, ntyp = 3
/
ATOMIC_SPECIES
Li 6.94 Li.upf
Pd 106.42 Pd.upf
H 1.01 H.upf
ATOMIC_POSITIONS crystal
Li 0.2500 0.2500 0.2500
Li 0.7500 0.7500 0.7500
Pd 0.5000 0.5000 0.5000
H 0.0000 0.0000 0.0000
CELL_PARAMETERS angstrom
-1.2616 -0.0488 -3.8550
-0.0211 -3.4805 -2.0833
-3.5224 -1.7685 -0.9590
! - SG: Fm-3m

# 11
! LiHPd | the Alexandria database | GGA-PBEsol | relaxed; values from VASP
&SYSTEM
  ibrav = 0, nat = 3, ntyp = 3
/
ATOMIC_SPECIES
Li 6.94 Li.upf
H 1.01 H.upf
Pd 106.42 Pd.upf
ATOMIC_POSITIONS crystal
Li 0.5000 0.5000 0.5000
H 0.5000 0.5000 0.0000
Pd 0.0000 0.0000 0.0000
CELL_PARAMETERS angstrom
2.7517 0.0000 0.0000
0.0000 2.7517 0.0000
0.0000 0.0000 3.9376
! - SG: P4/mmm

# 12
! Li2HPt | the Alexandria database | GGA-PBEsol | relaxed; values from VASP
&SYSTEM
  ibrav = 0, nat = 8, ntyp = 3
/
ATOMIC_SPECIES
Li 6.94 Li.upf
Pt 195.08 Pt.upf
H 1.01 H.upf
ATOMIC_POSITIONS crystal
Li 0.5133 0.1117 0.6117
Li 0.2367 0.8883 0.3883
Li 0.8750 0.6117 0.8883
Li 0.3750 0.3883 0.1117
Pt 0.7500 0.5000 0.5000
Pt 0.0000 0.0000 0.0000
H 0.5000 0.0000 0.0000
H 0.2500 0.5000 0.5000
CELL_PARAMETERS angstrom
-2.6650 0.0059 2.5760
0.0527 -4.4419 2.7313
1.7589 2.0034 4.4817
! - SG: I-42d

For reference, raw total energy by record: -7.571, -5.304, -5.379, -4.053, -3.989, -3.114, -3.376, -4.913, -4.932, -3.144, -4.175, -3.826 eV per atom.